# 1
Here is crystalline Li2PmSeO5 at its relaxed geometry from Alexandria. Energies are from PBE.

Uncorrected formation energy in eV/atom: -1.58

Cell lengths 6.840, 6.840, 10.086 Å; angles 90.00, 90.00, 90.00 degrees
Space group I4/mcm (No. 140)
One atom of each set of equivalent atoms:
Li: 0.249 0.251 0.000 x8
Pm: 0.000 0.000 0.250 x4
Se: 0.000 0.500 0.250 x4
O: 0.000 0.000 0.000 x4
O: 0.159 0.341 0.162 x16

***

# 2
Here is crystalline Mg2PbW at its relaxed geometry from Alexandria. Energies are from PBE.

ΔE_f in eV per atom: 0.5109

Cell lengths 10.259, 2.924, 5.471 Å; angles 90.00, 95.27, 90.00 degrees
Space group Cm (No. 8)
One atom of each set of equivalent atoms:
Mg: 0.000 0.000 0.000 x2
Mg: 0.243 0.000 0.749 x2
Pb: 0.485 0.000 0.478 x2
W: 0.238 0.500 0.227 x2

***

# 3
Here is crystalline Ba2PmNbO6 at its relaxed geometry from Alexandria. Energies are from PBE.

Uncorrected formation energy in eV/atom: -2.98

Cell lengths 6.152, 6.110, 10.563 Å; angles 90.00, 125.26, 90.00 degrees
Space group P2_1/c (No. 14)
One atom of each set of equivalent atoms:
Ba: 0.244 0.004 0.249 x4
Pm: 0.500 0.000 0.000 x2
Nb: 0.000 0.000 0.500 x2
O: 0.193 0.240 0.468 x4
O: 0.205 0.728 0.968 x4
O: 0.292 0.003 0.732 x4

***

# 4
Here is crystalline MnFeCoB at its relaxed geometry from Alexandria. Energies are from PBE.

ΔE_f in eV per atom: 0.0822

Cell lengths 5.342, 5.342, 5.342 Å; angles 90.00, 90.00, 90.00 degrees
Space group F-43m (No. 216)
One atom of each set of equivalent atoms:
Mn: 0.000 0.000 0.000 x4
Fe: 0.250 0.250 0.750 x4
Co: 0.250 0.250 0.250 x4
B: 0.000 0.000 0.500 x4